Compound: CeMn2F8
Source: the Alexandria database
Functional: GGA+U
Structure: relaxed

Summary:
D(E_F) (states/eV per cell): 2.26
Crystal system: trigonal
Theoretical density (g cm⁻³): 3.855
Final energy (eV per atom): -6.330

Unit cell a=6.9316 b=6.9316 c=4.1617 alpha=90.00 beta=90.00 gamma=120.00
Space group P-3m1 (No. 164)
Unique sites:
Ce 0.0000 0.0000 0.0000 (multiplicity 1)
Mn 0.3333 0.6667 0.7298 (multiplicity 2)
F 0.1598 0.3197 0.7426 (multiplicity 6)
F 0.3333 0.6667 0.2325 (multiplicity 2)